No. 1
This record from the Alexandria database describes a geometry-optimized ScTiVF2 structure. The functional is GGA+U.

```
ScTiVF2
1.0
-2.982 0.543 2.542
0.281 -5.884 1.587
2.593 0.893 2.851
Sc F Ti V
1 2 1 1
direct
0.500 0.500 0.500 Sc
0.000 0.000 0.500 F
0.500 0.000 0.000 F
0.000 0.000 0.000 Ti
0.000 0.500 0.000 V
```

Output
ρ	3.16	g/cm3
calculated volume	19.089	A^3/atom
space-group type	P4/mmm
VASP energy	-29.981	eV/f.u.
crystal system	tetragonal



No. 2
This record from the Alexandria database describes a geometry-optimized ScTiV2F structure. The functional is GGA+U.

```
ScTiV2F
1.0
5.344 0.000 0.000
0.000 3.787 0.000
0.000 0.000 5.344
Sc F Ti V
1 1 1 2
direct
0.000 0.000 0.000 Sc
0.000 0.500 0.000 F
0.500 0.500 0.500 Ti
0.000 0.000 0.500 V
0.500 0.000 0.000 V
```

Output
ρ	3.28	g/cm3
calculated volume	21.624	A^3/atom
space-group type	P4/mmm
VASP energy	-28.300	eV/f.u.
crystal system	tetragonal